Entry 1:
Here is MnTeN2 after structural relaxation from the Alexandria database. Energies are from PBE-GGA.

a b c (Å): 6.553 6.553 6.553
angles (deg): 27.26 27.26 27.26
Fractional coordinates of all 4 atoms:
Mn1 0.000 0.000 0.000
Te1 0.500 0.500 0.500
N1 0.385 0.385 0.385
N2 0.615 0.615 0.615

Properties
Formation energy without anion corrections (kJ per mole of atoms): 32.4



Entry 2:
Here is RbSr2ZrPt after structural relaxation from the Alexandria database. Energies are from PBE-GGA.

a b c (Å): 5.867 5.867 6.262
angles (deg): 90.00 90.00 90.00
Fractional coordinates of all 5 atoms:
Rb1 0.000 0.000 0.000
Sr1 0.000 0.500 0.500
Sr2 0.500 0.000 0.500
Zr1 0.500 0.500 0.000
Pt1 0.000 0.000 0.500

Properties
Energy of formation (eV/atom): 0.490



What did we get for E_tot? Answer: -6.904 -3.294 eV/atom, in the order shown.